Entry 1:
LaIn2Co | PBE | optimized geometry

The structure belongs to space group Amm2 (No. 38); the cell edges are 3.547, 4.328 and 12.320 Å and the angles 90.00°, 90.00° and 90.00°. The distinct sites, in fractional coordinates, are La at (0.000, 0.000, 0.000), In at (0.000, 0.000, 0.292), In at (0.500, 0.000, 0.678) and Co at (0.500, 0.000, 0.463).

Its density of states at the Fermi level is 5.6 states/eV/cell. The calculated formation energy comes out at -159 meV/atom.

---

Entry 2:
Ac6InNi | PBE | optimized geometry

The structure belongs to space group C2/m (No. 12); the cell edges are 8.775, 10.787 and 6.912 Å and the angles 90.00°, 105.25° and 90.00°. The distinct sites, in fractional coordinates, are Ac at (0.102, 0.192, 0.289), Ac at (0.212, 0.500, 0.110), In at (0.000, 0.500, 0.500) and Ni at (0.000, 0.000, 0.000).

Its density of states at the Fermi level is 20.9 states/eV/cell. The calculated formation energy comes out at -49 meV/atom.

---

Entry 3:
Ta3NbCd | PBE | optimized geometry

The structure belongs to space group Pm-3m (No. 221); the cell edges are 4.912, 4.912 and 4.912 Å and the angles 90.00°, 90.00° and 90.00°. The distinct sites, in fractional coordinates, are Ta at (0.000, 0.000, 0.500), Nb at (0.500, 0.500, 0.500) and Cd at (0.000, 0.000, 0.000).

The value obtained for the energy above the most stable polymorph in this dataset is 677 meV per atom. Its density of states at the Fermi level is 4.7 states/eV/cell. The calculated formation energy comes out at 2223 meV/atom.